An optimized crystal structure of KCoAu2. Source: the Alexandria database, functional GGA-PBEsol.

Calculated values
excess energy over the best structure of this formula in the dataset	90	meV per atom
crystal system	monoclinic
energy relative to the elements	0.32	eV per atom
E_tot	-3.86	eV per atom
space group	C2/m (12)

Cell: 8.222 2.757 7.273 Å, 90.00 95.41 90.00°
Fractional coordinates of all 8 atoms:
K 0.000 0.000 0.000
K 0.500 0.500 0.000
Co 0.000 0.500 0.500
Co 0.500 0.000 0.500
Au 0.236 0.000 0.673
Au 0.264 0.500 0.327
Au 0.736 0.500 0.673
Au 0.764 0.000 0.327

---

An optimized crystal structure of CrAs2HBr. Source: the Alexandria database, functional GGA-PBEsol.

Calculated values
crystal system	tetragonal
E_tot	-4.43	eV per atom
space group	P4/mmm (123)

Cell: 4.503 4.503 5.263 Å, 90.00 90.00 90.00°
Fractional coordinates of all 5 atoms:
Cr 0.000 0.000 0.000
As 0.000 0.500 0.000
As 0.500 0.000 0.000
H 0.500 0.500 0.500
Br 0.000 0.000 0.500

---

An optimized crystal structure of Ta2FeRh2. Source: the Alexandria database, functional GGA-PBEsol.

Calculated values
crystal system	tetragonal
energy relative to the elements	0.37	eV per atom
E_tot	-9.70	eV per atom
space group	I4/mmm (139)

Cell: 4.288 4.288 9.890 Å, 90.00 90.00 90.00°
Fractional coordinates of all 10 atoms:
Ta 0.000 0.500 0.250
Ta 0.000 0.500 0.750
Ta 0.500 0.000 0.250
Ta 0.500 0.000 0.750
Fe 0.000 0.000 0.000
Fe 0.500 0.500 0.500
Rh 0.000 0.000 0.379
Rh 0.000 0.000 0.621
Rh 0.500 0.500 0.121
Rh 0.500 0.500 0.879

---

An optimized crystal structure of Li5Mg. Source: the Alexandria database, functional GGA-PBEsol.

Calculated values
excess energy over the best structure of this formula in the dataset	2	meV per atom
crystal system	orthorhombic
energy relative to the elements	-0.02	eV per atom
E_tot	-1.95	eV per atom
space group	Cmmm (65)

Cell: 4.368 12.484 4.355 Å, 90.00 90.00 90.00°
Fractional coordinates of all 12 atoms:
Li 0.000 0.000 0.000
Li 0.000 0.169 0.500
Li 0.000 0.333 0.000
Li 0.000 0.667 0.000
Li 0.000 0.831 0.500
Li 0.500 0.167 0.000
Li 0.500 0.331 0.500
Li 0.500 0.500 0.000
Li 0.500 0.669 0.500
Li 0.500 0.833 0.000
Mg 0.000 0.500 0.500
Mg 0.500 0.000 0.500

---

An optimized crystal structure of ZnPOs. Source: the Alexandria database, functional GGA-PBEsol.

Calculated values
crystal system	hexagonal
energy relative to the elements	0.07	eV per atom
E_tot	-6.46	eV per atom
space group	P-6m2 (187)

Cell: 3.949 3.949 3.150 Å, 90.00 90.00 120.00°
Fractional coordinates of all 3 atoms:
Zn 0.000 0.000 0.000
P 0.667 0.333 0.500
Os 0.333 0.667 0.500

---

An optimized crystal structure of AlSbPI2. Source: the Alexandria database, functional GGA-PBEsol.

Calculated values
E_form (uncorrected)	0.491	eV/atom
excess energy over the best structure of this formula in the dataset	0	meV per atom
crystal system	tetragonal
E_tot	-3.10	eV per atom
space group	P4/mmm (123)

Cell: 5.402 5.402 5.264 Å, 90.00 90.00 90.00°
Fractional coordinates of all 5 atoms:
Al 0.000 0.000 0.000
Sb 0.500 0.500 0.000
P 0.500 0.500 0.500
I 0.000 0.500 0.500
I 0.500 0.000 0.500

---

An optimized crystal structure of TeHAu. Source: the Alexandria database, functional GGA-PBEsol.

Calculated values
crystal system	triclinic
E_tot	-3.55	eV per atom
space group	P-1 (2)

Cell: 4.039 6.419 6.455 Å, 119.49 102.89 95.05°
Fractional coordinates of all 6 atoms:
Te 0.133 0.302 0.261
Te 0.867 0.698 0.739
H 0.451 0.942 0.435
H 0.549 0.058 0.565
Au 0.000 0.500 0.000
Au 0.500 0.000 0.000

---

An optimized crystal structure of InPtRh2. Source: the Alexandria database, functional GGA-PBEsol.

Calculated values
crystal system	orthorhombic
energy relative to the elements	-0.20	eV per atom
E_tot	-6.76	eV per atom
space group	Cmmm (65)

Cell: 5.709 7.433 2.847 Å, 90.00 90.00 90.00°
Fractional coordinates of all 8 atoms:
In 0.000 0.000 0.000
In 0.500 0.500 0.000
Pt 0.000 0.500 0.000
Pt 0.500 0.000 0.000
Rh 0.250 0.250 0.500
Rh 0.250 0.750 0.500
Rh 0.750 0.250 0.500
Rh 0.750 0.750 0.500

---

Q: What is the formula in the seventh record?
A: TeHAu